Record 1
Er2TmIr after structural relaxation. Source: Alexandria, functional PBE-GGA.

Unit cell a=3.8721 b=6.2584 c=8.9813 alpha=90.00 beta=90.00 gamma=108.01
Sites, in units of the cell vectors:
1 Er 0.1415 0.2830 0.4345
2 Er 0.8585 0.7170 0.5655
3 Er 0.8585 0.7170 0.9345
4 Er 0.1415 0.2830 0.0655
5 Tm 0.4264 0.8529 0.2500
6 Tm 0.5736 0.1471 0.7500
7 Ir 0.7545 0.5093 0.2500
8 Ir 0.2455 0.4907 0.7500

---

Record 2
PmThPdAu after structural relaxation. Source: Alexandria, functional PBE-GGA.

Unit cell a=5.1815 b=5.1815 c=5.1815 alpha=60.00 beta=60.00 gamma=60.00
Sites, in units of the cell vectors:
1 Au 0.2500 0.2500 0.2500
2 Pd 0.7500 0.7500 0.7500
3 Th 0.5000 0.5000 0.5000
4 Pm 0.0000 0.0000 0.0000

---

Excess energy over the best structure of this formula in the dataset per entry: 0.037 0.106 eV/atom
Calculated density per entry: 11.163 11.486 g/cm³